1.
! TaZn2As, relaxed, DFT PBE-GGA; values from VASP
&SYSTEM
  ibrav = 0, nat = 4, ntyp = 3
/
ATOMIC_SPECIES
Ta 180.95 Ta.upf
Zn 65.41 Zn.upf
As 74.92 As.upf
ATOMIC_POSITIONS angstrom
Ta 0.000 0.000 0.000
Zn 1.864 0.000 2.043
Zn 1.864 0.000 6.544
As 0.000 0.000 4.294
CELL_PARAMETERS angstrom
1.864 -2.143 0.000
1.864 2.143 0.000
0.000 0.000 8.588
! Space group   Cmmm (65)

2.
! Ac4CoBr2, relaxed, DFT PBE-GGA; values from VASP
&SYSTEM
  ibrav = 0, nat = 7, ntyp = 3
/
ATOMIC_SPECIES
Ac 227.00 Ac.upf
Co 58.93 Co.upf
Br 79.90 Br.upf
ATOMIC_POSITIONS angstrom
Ac 2.854 0.000 0.000
Ac 0.000 0.000 2.957
Ac 0.000 2.854 0.000
Ac 0.000 0.000 12.943
Co 0.000 0.000 0.000
Br 0.000 0.000 6.232
Br 0.000 0.000 9.668
CELL_PARAMETERS angstrom
-2.854 2.854 7.950
2.854 -2.854 7.950
2.854 2.854 -7.950
! Space group   I4/mmm (139)

3.
! LiAc2Er, relaxed, DFT PBE-GGA; values from VASP
&SYSTEM
  ibrav = 0, nat = 4, ntyp = 3
/
ATOMIC_SPECIES
Li 6.94 Li.upf
Ac 227.00 Ac.upf
Er 167.26 Er.upf
ATOMIC_POSITIONS angstrom
Li 0.000 0.000 0.000
Ac 2.076 2.076 2.076
Ac 6.228 6.228 6.228
Er 4.152 4.152 4.152
CELL_PARAMETERS angstrom
0.000 4.152 4.152
4.152 0.000 4.152
4.152 4.152 0.000
! Space group   Fm-3m (225)

4.
! Ca2LaSi, relaxed, DFT PBE-GGA; values from VASP
&SYSTEM
  ibrav = 0, nat = 4, ntyp = 3
/
ATOMIC_SPECIES
Ca 40.08 Ca.upf
La 138.91 La.upf
Si 28.09 Si.upf
ATOMIC_POSITIONS angstrom
Ca 0.000 0.000 0.000
Ca 1.919 1.919 1.919
La 3.838 3.838 3.838
Si 5.757 5.757 5.757
CELL_PARAMETERS angstrom
0.000 3.838 3.838
3.838 0.000 3.838
3.838 3.838 0.000
! Space group   F-43m (216)

5.
! LaHo5Cd4, relaxed, DFT PBE-GGA; values from VASP
&SYSTEM
  ibrav = 0, nat = 10, ntyp = 3
/
ATOMIC_SPECIES
La 138.91 La.upf
Ho 164.93 Ho.upf
Cd 112.41 Cd.upf
ATOMIC_POSITIONS angstrom
La 0.000 0.000 0.000
Ho 1.853 1.853 2.531
Ho 1.853 1.853 6.296
Ho 1.853 1.853 10.054
Ho 1.853 1.853 13.812
Ho 1.853 1.853 17.577
Cd 0.000 0.000 4.399
Cd 0.000 0.000 8.157
Cd 0.000 0.000 11.951
Cd 0.000 0.000 15.710
CELL_PARAMETERS angstrom
3.707 0.000 0.000
0.000 3.707 0.000
0.000 0.000 20.108
! Space group   P4/mmm (123)

6.
! FeReTc3, relaxed, DFT PBE-GGA; values from VASP
&SYSTEM
  ibrav = 0, nat = 10, ntyp = 3
/
ATOMIC_SPECIES
Fe 55.84 Fe.upf
Re 186.21 Re.upf
Tc 98.00 Tc.upf
ATOMIC_POSITIONS angstrom
Fe 0.680 2.037 0.069
Fe 2.041 6.112 6.821
Re 0.680 2.037 2.535
Re 2.041 6.112 4.354
Tc 0.680 4.213 5.675
Tc 0.680 6.112 2.097
Tc 0.680 8.012 5.675
Tc 2.041 0.138 1.215
Tc 2.041 2.037 4.793
Tc 2.041 3.937 1.215
CELL_PARAMETERS angstrom
2.722 0.000 0.000
0.000 8.150 0.000
0.000 0.000 6.890
! Space group   Pmmn (59)

Which electronic total energy belongs to each record? In order, -4.607; -4.405; -3.554; -3.623; -3.393; -9.990 eV per atom.